[1]
Computed, not measured: a relaxed structure of RbTi2Bi2 at the PBE level of DFT.

Values from the calculation:
formation energy	0.159	eV per atom
calculated density	7.12	g/cm3
V	28.0	Å³ per atom
polymorph energy (0 for the lowest one)	131	kJ/mol of formula units

Cell lengths 9.2330, 9.2330, 3.2801 Å; angles 90.00, 90.00, 90.00 degrees
Last column: nearest neighbours and their distance in Å.
Positions (direct):
Rb 0.0000 0.0000 0.0000  2 Rb 3.28, 4 Bi 3.44
Rb 0.5000 0.5000 0.0000  2 Rb 3.28, 4 Bi 3.44
Ti 0.1025 0.3975 0.5000  1 Ti 2.68
Ti 0.3975 0.8975 0.5000  1 Ti 2.68
Ti 0.6025 0.1025 0.5000  1 Ti 2.68
Ti 0.8975 0.6025 0.5000  1 Ti 2.68
Bi 0.1663 0.6663 0.0000  4 Ti 3.03, 2 Bi 3.28
Bi 0.3337 0.1663 0.0000  4 Ti 3.03, 2 Bi 3.28
Bi 0.6663 0.8337 0.0000  4 Ti 3.03, 2 Bi 3.28
Bi 0.8337 0.3337 0.0000  4 Ti 3.03, 2 Bi 3.28

***

[2]
Computed, not measured: a relaxed structure of RbTiTl2Bi at the PBE level of DFT.

Values from the calculation:
formation energy	-0.038	eV per atom
calculated density	7.28	g/cm3
V	34.3	Å³ per atom

Cell lengths 5.5955, 5.5955, 5.4727 Å; angles 90.00, 90.00, 90.00 degrees
Last column: nearest neighbours and their distance in Å.
Positions (direct):
Rb 0.0000 0.0000 0.0000  8 Tl 3.91, 4 Bi 3.96
Ti 0.5000 0.5000 0.5000  2 Bi 2.74, 4 Tl 2.80
Tl 0.0000 0.5000 0.5000  2 Ti 2.80
Tl 0.5000 0.0000 0.5000  2 Ti 2.80
Bi 0.5000 0.5000 0.0000  2 Ti 2.74

***

[3]
Computed, not measured: a relaxed structure of RbTi2ZnBi at the PBE level of DFT.

Values from the calculation:
formation energy	0.924	eV per atom
calculated density	4.27	g/cm3
V	35.4	Å³ per atom
polymorph energy (0 for the lowest one)	0	kJ/mol of formula units

Cell lengths 5.4752, 5.4752, 5.9066 Å; angles 90.00, 90.00, 90.00 degrees
Last column: nearest neighbours and their distance in Å.
Positions (direct):
Rb 0.0000 0.0000 0.0000  4 Zn 3.87, 8 Ti 4.03
Ti 0.0000 0.5000 0.5000  2 Bi 2.74
Ti 0.5000 0.0000 0.5000  2 Bi 2.74
Zn 0.5000 0.5000 0.0000  2 Bi 2.95
Bi 0.5000 0.5000 0.5000  4 Ti 2.74, 2 Zn 2.95

***

[4]
Computed, not measured: a relaxed structure of RbTi2ZnBi at the PBE level of DFT.

Values from the calculation:
formation energy	0.952	eV per atom
calculated density	3.62	g/cm3
V	41.8	Å³ per atom
polymorph energy (0 for the lowest one)	13	kJ/mol of formula units

Cell lengths 5.4528, 5.4528, 7.0369 Å; angles 90.00, 90.00, 90.00 degrees
Last column: nearest neighbours and their distance in Å.
Positions (direct):
Rb 0.0000 0.0000 0.0000  2 Bi 3.52, 4 Zn 3.86
Ti 0.0000 0.5000 0.5000  2 Bi 2.73
Ti 0.5000 0.0000 0.5000  2 Bi 2.73
Zn 0.5000 0.5000 0.0000  4 Rb 3.86
Bi 0.0000 0.0000 0.5000  4 Ti 2.73

***

[5]
Computed, not measured: a relaxed structure of RbZr2TiBi at the PBE level of DFT.

Values from the calculation:
formation energy	2.094	eV per atom
calculated density	5.97	g/cm3
V	29.2	Å³ per atom

Cell lengths 4.9998, 4.9998, 5.8396 Å; angles 90.00, 90.00, 90.00 degrees
Last column: nearest neighbours and their distance in Å.
Positions (direct):
Rb 0.0000 0.0000 0.0000  4 Zr 2.50
Zr 0.0000 0.5000 0.0000  2 Rb 2.50
Zr 0.5000 0.0000 0.0000  2 Rb 2.50
Ti 0.5000 0.5000 0.5000  4 Bi 3.54, 8 Zr 3.84
Bi 0.0000 0.0000 0.5000  2 Rb 2.92

***

[6]
Computed, not measured: a relaxed structure of RbTl6Bi4 at the PBE level of DFT.

Values from the calculation:
formation energy	-0.044	eV per atom
calculated density	8.92	g/cm3
V	36.4	Å³ per atom

Cell lengths 9.2975, 9.2975, 5.3418 Å; angles 90.00, 90.00, 120.00 degrees
Last column: nearest neighbours and their distance in Å.
Positions (direct):
Rb 0.0000 0.0000 0.0000  12 Tl 4.19-4.68, 6 Bi 4.29
Tl 0.2008 0.4015 0.5000  4 Bi 3.30-3.42
Tl 0.2008 0.7992 0.5000  4 Bi 3.30-3.42
Tl 0.5331 0.0662 0.0000  5 Bi 3.22-3.39
Tl 0.5331 0.4669 0.0000  5 Bi 3.22-3.39
Tl 0.5985 0.7992 0.5000  4 Bi 3.30-3.42
Tl 0.9338 0.4669 0.0000  5 Bi 3.22-3.39
Bi 0.3333 0.6667 0.0000  9 Tl 3.22-3.42
Bi 0.4176 0.2088 0.5000  6 Tl 3.30-3.39, 2 Bi 3.47
Bi 0.7912 0.2088 0.5000  6 Tl 3.30-3.39, 2 Bi 3.47
Bi 0.7912 0.5824 0.5000  6 Tl 3.30-3.39, 2 Bi 3.47

***

[7]
Computed, not measured: a relaxed structure of Rb2Tl3Bi2 at the PBE level of DFT.

Values from the calculation:
formation energy	-0.185	eV per atom
calculated density	7.14	g/cm3
V	39.9	Å³ per atom

Cell lengths 7.1219, 7.1219, 8.9051 Å; angles 109.87, 109.87, 41.60 degrees
Last column: nearest neighbours and their distance in Å.
Positions (direct):
Rb 0.1368 0.1368 0.2724  4 Bi 3.81-4.05, 6 Tl 3.81-4.17
Rb 0.8632 0.8632 0.7276  4 Bi 3.81-4.05, 6 Tl 3.81-4.17
Tl 0.3755 0.3755 0.0534  3 Bi 3.25-3.29
Tl 0.5000 0.5000 0.5000  4 Bi 3.43, 2 Tl 3.71
Tl 0.6245 0.6245 0.9466  3 Bi 3.25-3.29
Bi 0.1514 0.1514 0.7345  5 Tl 3.25-3.43
Bi 0.8486 0.8486 0.2656  5 Tl 3.25-3.43

***

[8]
Computed, not measured: a relaxed structure of Rb2TlBi at the PBE level of DFT.

Values from the calculation:
formation energy	0.083	eV per atom
calculated density	5.28	g/cm3
V	45.9	Å³ per atom
polymorph energy (0 for the lowest one)	119	kJ/mol of formula units

Cell lengths 13.0838, 13.0838, 13.0838 Å; angles 156.09, 156.09, 34.06 degrees
Last column: nearest neighbours and their distance in Å.
Positions (direct):
Rb 0.1230 0.6250 0.9980  2 Tl 3.66, 2 Bi 3.67, 4 Rb 3.82-3.85
Rb 0.3750 0.3730 0.4980  2 Tl 3.66, 2 Bi 3.67, 4 Rb 3.82-3.85
Rb 0.6270 0.1250 0.0020  2 Tl 3.66, 2 Bi 3.67, 4 Rb 3.82-3.85
Rb 0.8750 0.8770 0.5020  2 Tl 3.66, 2 Bi 3.67, 4 Rb 3.82-3.85
Tl 0.0000 0.0000 0.0000  4 Rb 3.66, 4 Bi 3.83
Tl 0.7500 0.2500 0.5000  4 Rb 3.66, 4 Bi 3.83
Bi 0.2500 0.7500 0.5000  4 Rb 3.67, 4 Tl 3.83
Bi 0.5000 0.5000 0.0000  4 Rb 3.67, 4 Tl 3.83

***

[9]
Computed, not measured: a relaxed structure of Rb2Tl12Bi at the PBE level of DFT.

Values from the calculation:
formation energy	0.003	eV per atom
calculated density	8.55	g/cm3
V	36.7	Å³ per atom

Cell lengths 7.2598, 7.2598, 20.8664 Å; angles 90.00, 90.00, 90.00 degrees
Last column: nearest neighbours and their distance in Å.
Positions (direct):
Rb 0.2500 0.7500 0.2382  14 Tl 3.89-4.26
Rb 0.2500 0.7500 0.7618  14 Tl 3.89-4.26
Rb 0.7500 0.2500 0.2382  14 Tl 3.89-4.26
Rb 0.7500 0.2500 0.7618  14 Tl 3.89-4.26
Tl 0.9998 0.0002 0.4012  6 Tl 3.26-3.63, 2 Bi 3.29
Tl 0.0002 0.9998 0.5988  6 Tl 3.26-3.63, 2 Bi 3.29
Tl 0.0002 0.5002 0.4012  6 Tl 3.26-3.63, 2 Bi 3.29
Tl 0.9998 0.4998 0.5988  6 Tl 3.26-3.63, 2 Bi 3.29
Tl 0.0868 0.5868 0.0629  6 Tl 3.17-3.54
Tl 0.0868 0.9132 0.9371  6 Tl 3.17-3.54
Tl 0.2500 0.2500 0.1514  5 Tl 3.21-3.29
Tl 0.2500 0.2500 0.3052  5 Tl 3.21-3.26
Tl 0.2500 0.2500 0.6948  5 Tl 3.21-3.26
Tl 0.2500 0.2500 0.8486  5 Tl 3.21-3.29
Tl 0.4132 0.5868 0.9371  6 Tl 3.17-3.54
Tl 0.4132 0.9132 0.0629  6 Tl 3.17-3.54
Tl 0.4998 0.9998 0.4012  6 Tl 3.26-3.63, 2 Bi 3.29
Tl 0.5002 0.0002 0.5988  6 Tl 3.26-3.63, 2 Bi 3.29
Tl 0.5002 0.4998 0.4012  6 Tl 3.26-3.63, 2 Bi 3.29
Tl 0.4998 0.5002 0.5988  6 Tl 3.26-3.63, 2 Bi 3.29
Tl 0.5868 0.0868 0.9371  6 Tl 3.17-3.54
Tl 0.5868 0.4132 0.0629  6 Tl 3.17-3.54
Tl 0.7500 0.7500 0.1514  5 Tl 3.21-3.29
Tl 0.7500 0.7500 0.3052  5 Tl 3.21-3.26
Tl 0.7500 0.7500 0.6948  5 Tl 3.21-3.26
Tl 0.7500 0.7500 0.8486  5 Tl 3.21-3.29
Tl 0.9132 0.0868 0.0629  6 Tl 3.17-3.54
Tl 0.9132 0.4132 0.9371  6 Tl 3.17-3.54
Bi 0.2500 0.7500 0.5000  8 Tl 3.29
Bi 0.7500 0.2500 0.5000  8 Tl 3.29

***

[10]
Computed, not measured: a relaxed structure of Rb4Tl2Bi at the PBE level of DFT.

Values from the calculation:
formation energy	0.030	eV per atom
calculated density	3.37	g/cm3
V	67.5	Å³ per atom

Cell lengths 10.4100, 10.4100, 10.4100 Å; angles 139.42, 139.42, 58.73 degrees
Last column: nearest neighbours and their distance in Å.
Positions (direct):
Rb 0.0000 0.5000 0.5000  2 Bi 3.61, 4 Tl 3.93
Rb 0.1988 0.1988 0.0000  1 Bi 3.61, 1 Tl 3.91
Rb 0.5000 0.0000 0.5000  2 Bi 3.61, 4 Tl 3.93
Rb 0.8012 0.8012 0.0000  1 Bi 3.61, 1 Tl 3.91
Tl 0.4144 0.4144 0.0000  1 Tl 3.11
Tl 0.5856 0.5856 0.0000  1 Tl 3.11
Bi 0.0000 0.0000 0.0000  6 Rb 3.61

***

[11]
Computed, not measured: a relaxed structure of Rb2Tl3Bi at the PBE level of DFT.

Values from the calculation:
formation energy	-0.175	eV per atom
calculated density	7.03	g/cm3
V	39.1	Å³ per atom

Cell lengths 6.9970, 6.9970, 9.0366 Å; angles 129.62, 129.62, 47.68 degrees
Last column: nearest neighbours and their distance in Å.
Positions (direct):
Rb 0.0000 0.0000 0.0000  7 Tl 3.77-3.93, 3 Bi 4.07-4.08
Rb 0.5105 0.5105 0.3826  9 Tl 3.83-4.27, 3 Bi 3.84-3.90
Tl 0.3311 0.3311 0.5933  3 Tl 3.15-3.18, 1 Bi 3.21
Tl 0.6737 0.6737 0.9596  2 Tl 3.15-3.26, 2 Bi 3.34
Tl 0.8403 0.8403 0.4423  3 Tl 3.18-3.26, 1 Bi 3.24
Bi 0.1928 0.1928 0.7830  4 Tl 3.21-3.34

***

[12]
Computed, not measured: a relaxed structure of Rb3Tl4Bi4 at the PBE level of DFT.

Values from the calculation:
formation energy	-0.174	eV per atom
calculated density	6.93	g/cm3
V	41.6	Å³ per atom
polymorph energy (0 for the lowest one)	0	kJ/mol of formula units

Cell lengths 5.2713, 5.7084, 15.5801 Å; angles 81.80, 80.61, 89.76 degrees
Last column: nearest neighbours and their distance in Å.
Positions (direct):
Rb 0.0000 0.0000 0.0000  2 Tl 3.56, 4 Bi 3.87
Rb 0.3493 0.8822 0.2996  5 Tl 3.77-4.05, 3 Bi 3.92-3.96
Rb 0.6507 0.1178 0.7004  5 Tl 3.77-4.05, 3 Bi 3.92-3.96
Tl 0.0939 0.4436 0.8119  3 Bi 3.18-3.21, 1 Rb 3.56
Tl 0.2463 0.2461 0.5074  4 Bi 3.21-3.32
Tl 0.7537 0.7539 0.4926  4 Bi 3.21-3.32
Tl 0.9061 0.5564 0.1881  3 Bi 3.18-3.21, 1 Rb 3.56
Bi 0.1953 0.6978 0.6136  5 Tl 3.18-3.32
Bi 0.4529 0.3901 0.0950  1 Bi 3.01, 2 Tl 3.20-3.21
Bi 0.5471 0.6099 0.9050  1 Bi 3.01, 2 Tl 3.20-3.21
Bi 0.8047 0.3022 0.3864  5 Tl 3.18-3.32